First-principles (PBE-GGA) data for Sr2MnMo after structural relaxation, as listed in Alexandria.

Calculated total energy ... -4.74 eV/atom
Formation enthalpy at 0 K ... 1103 meV per atom
Polymorph energy (0 for the lowest one) ... 636 meV per atom

Unit cell a=3.1887 b=3.1887 c=10.2916 alpha=90.00 beta=90.00 gamma=90.00
Sites, in units of the cell vectors:
Sr  0.0000  0.0000  0.2404
Sr  0.0000  0.0000  0.7596
Mn  0.5000  0.5000  0.5000
Mo  0.5000  0.5000  0.0000

=====

First-principles (PBE-GGA) data for Nd2NpIn3Te6 after structural relaxation, as listed in Alexandria.

Calculated total energy ... -4.94 eV/atom

Unit cell a=7.8007 b=7.8007 c=8.5100 alpha=98.80 beta=98.80 gamma=120.00
Sites, in units of the cell vectors:
Nd  0.1665  0.8335  0.0000
Nd  0.8335  0.1665  0.0000
Np  0.5000  0.5000  0.0000
In  0.0000  0.0000  0.5000
In  0.3326  0.6674  0.5000
In  0.6674  0.3326  0.5000
Te  0.0957  0.4251  0.7752
Te  0.2459  0.2459  0.2260
Te  0.4251  0.0957  0.7752
Te  0.5749  0.9043  0.2248
Te  0.7541  0.7541  0.7740
Te  0.9043  0.5749  0.2248

=====

| no. | density of states at the Fermi level (states/eV per cell) |
| --- | --- |
| 1 | 4.8 |
| 2 | 6.7 |